Entry from the Alexandria database: crystalline Mg2In at its relaxed geometry (PBEsol).

Cell and atoms, written as CIF:
```
data_Mg2In
_chemical_formula_sum 'Mg8 In4'
_symmetry_space_group_name_H-M 'C 1 2/m 1'
_symmetry_Int_Tables_number 12
_symmetry_space_group_name_Hall '-C 2y'
_cell_length_a 11.470
_cell_length_b 3.271
_cell_length_c 7.576
_cell_angle_alpha 90.00
_cell_angle_beta 107.82
_cell_angle_gamma 90.00
loop_
_atom_site_label
_atom_site_fract_x
_atom_site_fract_y
_atom_site_fract_z
_atom_site_occupancy
Mg1 0.142 0.000 0.027 1
Mg2 0.182 0.000 0.631 1
In1 0.036 0.500 0.294 1
```

## Properties
The final energy is -2.2258 eV/atom. As for the formation energy: -0.087 eV per atom.



Entry from the Alexandria database: crystalline Cs2SnI6 at its relaxed geometry (PBEsol).

Cell and atoms, written as CIF:
```
data_Cs2SnI6
_chemical_formula_sum 'Cs8 Sn4 I24'
_symmetry_space_group_name_H-M 'F m -3 m'
_symmetry_Int_Tables_number 225
_symmetry_space_group_name_Hall '-F 4 2 3'
_cell_length_a 11.541
_cell_length_b 11.541
_cell_length_c 11.541
_cell_angle_alpha 90.00
_cell_angle_beta 90.00
_cell_angle_gamma 90.00
loop_
_atom_site_label
_atom_site_fract_x
_atom_site_fract_y
_atom_site_fract_z
_atom_site_occupancy
Cs1 0.250 0.250 0.250 1
Sn1 0.000 0.000 0.000 1
I1 0.000 0.000 0.249 1
```

## Properties
The uncorrected formation energy is -0.903 eV per atom. The final energy is -2.7633 eV/atom.



Entry from the Alexandria database: crystalline CdAgHg2 at its relaxed geometry (PBEsol).

Cell and atoms, written as CIF:
```
data_CdAgHg2
_chemical_formula_sum 'Cd2 Ag2 Hg4'
_symmetry_space_group_name_H-M 'I 4/m m m'
_symmetry_Int_Tables_number 139
_symmetry_space_group_name_Hall '-I 4 2'
_cell_length_a 4.430
_cell_length_b 4.430
_cell_length_c 8.117
_cell_angle_alpha 90.00
_cell_angle_beta 90.00
_cell_angle_gamma 90.00
loop_
_atom_site_label
_atom_site_fract_x
_atom_site_fract_y
_atom_site_fract_z
_atom_site_occupancy
Cd1 0.000 0.000 0.000 1
Ag1 0.000 0.000 0.500 1
Hg1 0.000 0.500 0.250 1
```

## Properties
The final energy is -1.3932 eV/atom. As for the formation energy: 0.017 eV per atom.



Entry from the Alexandria database: crystalline ZnSi2Br at its relaxed geometry (PBEsol).

Cell and atoms, written as CIF:
```
data_ZnSi2Br
_chemical_formula_sum 'Zn2 Si4 Br2'
_symmetry_space_group_name_H-M 'C 1 2/m 1'
_symmetry_Int_Tables_number 12
_symmetry_space_group_name_Hall '-C 2y'
_cell_length_a 12.137
_cell_length_b 4.012
_cell_length_c 3.421
_cell_angle_alpha 90.00
_cell_angle_beta 95.92
_cell_angle_gamma 90.00
loop_
_atom_site_label
_atom_site_fract_x
_atom_site_fract_y
_atom_site_fract_z
_atom_site_occupancy
Zn1 0.000 0.000 0.000 1
Si1 0.202 0.000 0.053 1
Br1 0.000 0.500 0.500 1
```

## Properties
The uncorrected formation energy is 0.231 eV per atom. The final energy is -3.5055 eV/atom. For the energy above the most stable polymorph in this dataset, the calculation gives 0.187 eV/atom.



Entry from the Alexandria database: crystalline TaCr2Ag at its relaxed geometry (PBEsol).

Cell and atoms, written as CIF:
```
data_TaCr2Ag
_chemical_formula_sum 'Ta4 Cr8 Ag4'
_symmetry_space_group_name_H-M 'F -4 3 m'
_symmetry_Int_Tables_number 216
_symmetry_space_group_name_Hall 'F -4 2 3'
_cell_length_a 6.166
_cell_length_b 6.166
_cell_length_c 6.166
_cell_angle_alpha 90.00
_cell_angle_beta 90.00
_cell_angle_gamma 90.00
loop_
_atom_site_label
_atom_site_fract_x
_atom_site_fract_y
_atom_site_fract_z
_atom_site_occupancy
Ta1 0.000 0.000 0.000 1
Cr1 0.000 0.000 0.500 1
Cr2 0.250 0.250 0.750 1
Ag1 0.250 0.250 0.250 1
```

## Properties
The final energy is -8.5289 eV/atom. For the energy above the most stable polymorph in this dataset, the calculation gives 0.234 eV/atom. As for the formation energy: 0.558 eV per atom.



Entry from the Alexandria database: crystalline KHF2 at its relaxed geometry (PBEsol).

Cell and atoms, written as CIF:
```
data_KHF2
_chemical_formula_sum 'K4 H4 F8'
_symmetry_space_group_name_H-M 'I 4/m c m'
_symmetry_Int_Tables_number 140
_symmetry_space_group_name_Hall '-I 4 2c'
_cell_length_a 5.586
_cell_length_b 5.586
_cell_length_c 6.785
_cell_angle_alpha 90.00
_cell_angle_beta 90.00
_cell_angle_gamma 90.00
loop_
_atom_site_label
_atom_site_fract_x
_atom_site_fract_y
_atom_site_fract_z
_atom_site_occupancy
K1 0.000 0.000 0.250 1
H1 0.000 0.500 0.000 1
F1 0.145 0.355 0.000 1
```

## Properties
The final energy is -4.3957 eV/atom.



Entry from the Alexandria database: crystalline LaCo2SbO at its relaxed geometry (PBEsol).

Cell and atoms, written as CIF:
```
data_LaCo2SbO
_chemical_formula_sum 'La1 Co2 Sb1 O1'
_symmetry_space_group_name_H-M 'P 4/m m m'
_symmetry_Int_Tables_number 123
_symmetry_space_group_name_Hall '-P 4 2'
_cell_length_a 4.279
_cell_length_b 4.279
_cell_length_c 6.389
_cell_angle_alpha 90.00
_cell_angle_beta 90.00
_cell_angle_gamma 90.00
loop_
_atom_site_label
_atom_site_fract_x
_atom_site_fract_y
_atom_site_fract_z
_atom_site_occupancy
La1 0.000 0.000 0.000 1
Co1 0.000 0.500 0.000 1
Sb1 0.000 0.000 0.500 1
O1 0.500 0.500 0.500 1
```

## Properties
The uncorrected formation energy is 1.717 eV per atom. The final energy is -4.4089 eV/atom.



Entry from the Alexandria database: crystalline BeIn2Cl at its relaxed geometry (PBEsol).

Cell and atoms, written as CIF:
```
data_BeIn2Cl
_chemical_formula_sum 'Be2 In4 Cl2'
_symmetry_space_group_name_H-M 'C 1 2/m 1'
_symmetry_Int_Tables_number 12
_symmetry_space_group_name_Hall '-C 2y'
_cell_length_a 7.858
_cell_length_b 7.449
_cell_length_c 3.059
_cell_angle_alpha 90.00
_cell_angle_beta 110.42
_cell_angle_gamma 90.00
loop_
_atom_site_label
_atom_site_fract_x
_atom_site_fract_y
_atom_site_fract_z
_atom_site_occupancy
Be1 0.000 0.000 0.000 1
In1 0.250 0.250 0.500 1
Cl1 0.000 0.500 0.000 1
```

## Properties
The uncorrected formation energy is 0.070 eV per atom. The final energy is -2.9229 eV/atom. For the energy above the most stable polymorph in this dataset, the calculation gives 0.138 eV/atom.



Entry from the Alexandria database: crystalline TlCd2 at its relaxed geometry (PBEsol).

Cell and atoms, written as CIF:
```
data_TlCd2
_chemical_formula_sum 'Tl4 Cd8'
_symmetry_space_group_name_H-M 'C 1 2/m 1'
_symmetry_Int_Tables_number 12
_symmetry_space_group_name_Hall '-C 2y'
_cell_length_a 10.883
_cell_length_b 3.161
_cell_length_c 8.693
_cell_angle_alpha 90.00
_cell_angle_beta 109.24
_cell_angle_gamma 90.00
loop_
_atom_site_label
_atom_site_fract_x
_atom_site_fract_y
_atom_site_fract_z
_atom_site_occupancy
Tl1 0.163 0.000 0.112 1
Cd1 0.035 0.500 0.752 1
Cd2 0.150 0.000 0.537 1
```

## Properties
The final energy is -1.6307 eV/atom. As for the formation energy: 0.044 eV per atom.



Entry from the Alexandria database: crystalline LiCu2S3O12 at its relaxed geometry (PBEsol).

Cell and atoms, written as CIF:
```
data_LiCu2S3O12
_chemical_formula_sum 'Li6 Cu12 S18 O72'
_symmetry_space_group_name_H-M 'R -3 c'
_symmetry_Int_Tables_number 167
_symmetry_space_group_name_Hall '-R 3 2"c'
_cell_length_a 8.4989
_cell_length_b 8.4989
_cell_length_c 20.5291
_cell_angle_alpha 90.00
_cell_angle_beta 90.00
_cell_angle_gamma 120.00
loop_
_atom_site_label
_atom_site_fract_x
_atom_site_fract_y
_atom_site_fract_z
_atom_site_occupancy
Li1 0.0000 0.0000 0.0000 1
Cu1 0.0000 0.0000 0.1442 1
S1 0.0000 0.2979 0.2500 1
O1 0.0041 0.2061 0.3100 1
O2 0.0173 0.1855 0.9227 1
```

## Properties
The uncorrected formation energy is -1.191 eV per atom. The final energy is -6.0123 eV/atom.



Entry from the Alexandria database: crystalline Sc2NiB2Ir5 at its relaxed geometry (PBEsol).

Cell and atoms, written as CIF:
```
data_Sc2NiB2Ir5
_chemical_formula_sum 'Sc4 Ni2 B4 Ir10'
_symmetry_space_group_name_H-M 'P 4/m b m'
_symmetry_Int_Tables_number 127
_symmetry_space_group_name_Hall '-P 4 2ab'
_cell_length_a 9.255
_cell_length_b 9.255
_cell_length_c 3.011
_cell_angle_alpha 90.00
_cell_angle_beta 90.00
_cell_angle_gamma 90.00
loop_
_atom_site_label
_atom_site_fract_x
_atom_site_fract_y
_atom_site_fract_z
_atom_site_occupancy
Sc1 0.177 0.323 0.000 1
Ni1 0.000 0.000 0.000 1
B1 0.126 0.626 0.000 1
Ir1 0.000 0.500 0.500 1
Ir2 0.069 0.786 0.500 1
```

## Properties
The final energy is -8.9375 eV/atom. As for the formation energy: -0.686 eV per atom.



Entry from the Alexandria database: crystalline P2RhF at its relaxed geometry (PBEsol).

Cell and atoms, written as CIF:
```
data_P2RhF
_chemical_formula_sum 'P8 Rh4 F4'
_symmetry_space_group_name_H-M 'I -4 2 d'
_symmetry_Int_Tables_number 122
_symmetry_space_group_name_Hall 'I -4 2bw'
_cell_length_a 5.026
_cell_length_b 5.026
_cell_length_c 11.268
_cell_angle_alpha 90.00
_cell_angle_beta 90.00
_cell_angle_gamma 90.00
loop_
_atom_site_label
_atom_site_fract_x
_atom_site_fract_y
_atom_site_fract_z
_atom_site_occupancy
P1 0.224 0.250 0.125 1
Rh1 0.000 0.000 0.000 1
F1 0.000 0.000 0.500 1
```

## Properties
The uncorrected formation energy is -0.241 eV per atom. The final energy is -5.6532 eV/atom.



Entry from the Alexandria database: crystalline MnRh2W at its relaxed geometry (PBEsol).

Cell and atoms, written as CIF:
```
data_MnRh2W
_chemical_formula_sum 'Mn1 Rh2 W1'
_symmetry_space_group_name_H-M 'P m m m'
_symmetry_Int_Tables_number 47
_symmetry_space_group_name_Hall '-P 2 2'
_cell_length_a 2.724
_cell_length_b 3.726
_cell_length_c 5.382
_cell_angle_alpha 90.00
_cell_angle_beta 90.00
_cell_angle_gamma 90.00
loop_
_atom_site_label
_atom_site_fract_x
_atom_site_fract_y
_atom_site_fract_z
_atom_site_occupancy
Mn1 0.000 0.000 0.000 1
Rh1 0.500 0.500 0.244 1
W1 0.000 0.000 0.500 1
```

## Properties
The final energy is -10.0616 eV/atom. For the energy above the most stable polymorph in this dataset, the calculation gives 0.062 eV/atom. As for the formation energy: -0.100 eV per atom.



Entry from the Alexandria database: crystalline AlZn2Cd at its relaxed geometry (PBEsol).

Cell and atoms, written as CIF:
```
data_AlZn2Cd
_chemical_formula_sum 'Al1 Zn2 Cd1'
_symmetry_space_group_name_H-M 'P 1 m 1'
_symmetry_Int_Tables_number 6
_symmetry_space_group_name_Hall 'P -2y'
_cell_length_a 3.356
_cell_length_b 4.130
_cell_length_c 5.149
_cell_angle_alpha 90.00
_cell_angle_beta 107.42
_cell_angle_gamma 90.00
loop_
_atom_site_label
_atom_site_fract_x
_atom_site_fract_y
_atom_site_fract_z
_atom_site_occupancy
Al1 0.000 0.000 0.000 1
Zn1 0.282 0.000 0.539 1
Zn2 0.424 0.500 0.836 1
Cd1 0.704 0.500 0.368 1
```

## Properties
The final energy is -2.0127 eV/atom. For the energy above the most stable polymorph in this dataset, the calculation gives 0.021 eV/atom. As for the formation energy: 0.100 eV per atom.



Entry from the Alexandria database: crystalline ScTl2CdFe at its relaxed geometry (PBEsol).

Cell and atoms, written as CIF:
```
data_ScTl2CdFe
_chemical_formula_sum 'Sc1 Tl2 Cd1 Fe1'
_symmetry_space_group_name_H-M 'P 4/m m m'
_symmetry_Int_Tables_number 123
_symmetry_space_group_name_Hall '-P 4 2'
_cell_length_a 5.570
_cell_length_b 5.570
_cell_length_c 4.332
_cell_angle_alpha 90.00
_cell_angle_beta 90.00
_cell_angle_gamma 90.00
loop_
_atom_site_label
_atom_site_fract_x
_atom_site_fract_y
_atom_site_fract_z
_atom_site_occupancy
Sc1 0.000 0.000 0.000 1
Tl1 0.000 0.500 0.000 1
Cd1 0.500 0.500 0.500 1
Fe1 0.000 0.000 0.500 1
```

## Properties
The final energy is -3.5618 eV/atom. As for the formation energy: 0.843 eV per atom.



Entry from the Alexandria database: crystalline Y2CuTe at its relaxed geometry (PBEsol).

Cell and atoms, written as CIF:
```
data_Y2CuTe
_chemical_formula_sum 'Y6 Cu3 Te3'
_symmetry_space_group_name_H-M 'R -3 m'
_symmetry_Int_Tables_number 166
_symmetry_space_group_name_Hall '-R 3 2"'
_cell_length_a 4.0355
_cell_length_b 4.0355
_cell_length_c 21.5821
_cell_angle_alpha 90.00
_cell_angle_beta 90.00
_cell_angle_gamma 120.00
loop_
_atom_site_label
_atom_site_fract_x
_atom_site_fract_y
_atom_site_fract_z
_atom_site_occupancy
Y1 0.0000 0.0000 0.2418 1
Cu1 0.0000 0.0000 0.5000 1
Te1 0.0000 0.0000 0.0000 1
```

## Properties
The uncorrected formation energy is -0.710 eV per atom. The final energy is -6.0865 eV/atom.



Entry from the Alexandria database: crystalline ScFeTc2 at its relaxed geometry (PBEsol).

Cell and atoms, written as CIF:
```
data_ScFeTc2
_chemical_formula_sum 'Sc1 Fe1 Tc2'
_symmetry_space_group_name_H-M 'P 4/m m m'
_symmetry_Int_Tables_number 123
_symmetry_space_group_name_Hall '-P 4 2'
_cell_length_a 3.635
_cell_length_b 3.635
_cell_length_c 4.374
_cell_angle_alpha 90.00
_cell_angle_beta 90.00
_cell_angle_gamma 90.00
loop_
_atom_site_label
_atom_site_fract_x
_atom_site_fract_y
_atom_site_fract_z
_atom_site_occupancy
Sc1 0.000 0.000 0.000 1
Fe1 0.500 0.500 0.000 1
Tc1 0.000 0.500 0.500 1
```

## Properties
The final energy is -9.3628 eV/atom. For the energy above the most stable polymorph in this dataset, the calculation gives 0.089 eV/atom. As for the formation energy: 0.163 eV per atom.



Entry from the Alexandria database: crystalline KInCo at its relaxed geometry (PBEsol).

Cell and atoms, written as CIF:
```
data_KInCo
_chemical_formula_sum 'K1 In1 Co1'
_symmetry_space_group_name_H-M 'P 3 m 1'
_symmetry_Int_Tables_number 156
_symmetry_space_group_name_Hall 'P 3 -2"'
_cell_length_a 3.2025
_cell_length_b 3.2025
_cell_length_c 7.5002
_cell_angle_alpha 90.00
_cell_angle_beta 90.00
_cell_angle_gamma 120.00
loop_
_atom_site_label
_atom_site_fract_x
_atom_site_fract_y
_atom_site_fract_z
_atom_site_occupancy
K1 0.0000 0.0000 0.0000 1
In1 0.6667 0.3333 0.4100 1
Co1 0.3333 0.6667 0.6567 1
```

## Properties
The final energy is -3.2233 eV/atom. For the energy above the most stable polymorph in this dataset, the calculation gives 0.000 eV/atom. As for the formation energy: 0.728 eV per atom.



Entry from the Alexandria database: crystalline K2LiYF6 at its relaxed geometry (PBEsol).

Cell and atoms, written as CIF:
```
data_K2LiYF6
_chemical_formula_sum 'K8 Li4 Y4 F24'
_symmetry_space_group_name_H-M 'F m -3 m'
_symmetry_Int_Tables_number 225
_symmetry_space_group_name_Hall '-F 4 2 3'
_cell_length_a 8.363
_cell_length_b 8.363
_cell_length_c 8.363
_cell_angle_alpha 90.00
_cell_angle_beta 90.00
_cell_angle_gamma 90.00
loop_
_atom_site_label
_atom_site_fract_x
_atom_site_fract_y
_atom_site_fract_z
_atom_site_occupancy
K1 0.250 0.250 0.250 1
Li1 0.000 0.000 0.000 1
Y1 0.000 0.000 0.500 1
F1 0.000 0.000 0.244 1
```

## Properties
The uncorrected formation energy is -3.361 eV per atom. The final energy is -5.6226 eV/atom.



Entry from the Alexandria database: crystalline Mg2ScBr at its relaxed geometry (PBEsol).

Cell and atoms, written as CIF:
```
data_Mg2ScBr
_chemical_formula_sum 'Mg2 Sc1 Br1'
_symmetry_space_group_name_H-M 'P 4 m m'
_symmetry_Int_Tables_number 99
_symmetry_space_group_name_Hall 'P 4 -2'
_cell_length_a 3.348
_cell_length_b 3.348
_cell_length_c 8.584
_cell_angle_alpha 90.00
_cell_angle_beta 90.00
_cell_angle_gamma 90.00
loop_
_atom_site_label
_atom_site_fract_x
_atom_site_fract_y
_atom_site_fract_z
_atom_site_occupancy
Mg1 0.000 0.000 0.000 1
Mg2 0.500 0.500 0.230 1
Sc1 0.000 0.000 0.479 1
Br1 0.500 0.500 0.651 1
```

## Properties
The uncorrected formation energy is -0.400 eV per atom. The final energy is -3.3769 eV/atom. For the energy above the most stable polymorph in this dataset, the calculation gives 0.000 eV/atom.